No. 1
{"formula": "Pm7Nd4Mg", "functional": "PBE", "state": "relaxed", "lattice_angstrom": [[6.2902, 0.0000, 0.0000], [-0.0112, 7.2350, 0.0000], [-0.0237, -3.6156, 8.9122]], "species": ["Pm", "Pm", "Pm", "Pm", "Pm", "Pm", "Pm", "Nd", "Nd", "Nd", "Nd", "Mg"], "frac_coords": [[0.0000, 0.0000, 0.0000], [0.1671, 0.5838, 0.6694], [0.1675, 0.0839, 0.6697], [0.5000, 0.2498, 0.0001], [0.5000, 0.7502, 0.9999], [0.8325, 0.9161, 0.3303], [0.8329, 0.4162, 0.3306], [0.3307, 0.6672, 0.3341], [0.3395, 0.1669, 0.3341], [0.6605, 0.8331, 0.6659], [0.6693, 0.3328, 0.6659], [0.0000, 0.5000, 0.0000]], "dft_energy_ev_per_atom": -4.480}

No. 2
{"formula": "CrCoRe2", "functional": "PBE", "state": "relaxed", "lattice_angstrom": [[3.0955, 0.0000, 0.0000], [0.0000, 3.0955, 0.0000], [0.0000, 0.0000, 5.4714]], "species": ["Cr", "Co", "Re", "Re"], "frac_coords": [[0.0000, 0.0000, 0.0000], [0.0000, 0.0000, 0.5000], [0.5000, 0.5000, 0.2545], [0.5000, 0.5000, 0.7455]], "dft_energy_ev_per_atom": -10.228, "e_above_lowest_polymorph_kj_per_mol_atoms": 12.74}

No. 3
{"formula": "TcIrOs4", "functional": "PBE", "state": "relaxed", "lattice_angstrom": [[4.7642, -2.7566, 0.0000], [4.7642, 2.7566, 0.0000], [-1.5861, 0.0000, 6.5655]], "species": ["Tc", "Tc", "Ir", "Ir", "Os", "Os", "Os", "Os", "Os", "Os", "Os", "Os"], "frac_coords": [[0.1391, 0.1391, 0.3384], [0.8609, 0.8609, 0.6616], [0.3606, 0.3606, 0.6617], [0.6394, 0.6394, 0.3383], [0.1389, 0.6413, 0.3365], [0.2414, 0.7586, 0.0000], [0.2477, 0.2477, 0.9993], [0.3587, 0.8611, 0.6635], [0.6413, 0.1389, 0.3365], [0.7523, 0.7523, 0.0007], [0.7586, 0.2414, 0.0000], [0.8611, 0.3587, 0.6635]], "dft_energy_ev_per_atom": -10.708, "e_above_lowest_polymorph_kj_per_mol_atoms": 0.00}